Entry from the Alexandria database: an optimized crystal structure of PuTh2Pt3 (GGA-PBE).

Cell: 9.174 9.174 9.174 Å, 153.43 153.43 37.93°
Element x y z (fractional)
Pu (0.000, 0.000, 0.000)
Th (0.334, 0.334, 0.000)
Th (0.666, 0.666, 0.000)
Pt (0.167, 0.167, 0.000)
Pt (0.500, 0.500, 0.000)
Pt (0.833, 0.833, 0.000)

Computed properties:
ΔE_f: -1094 meV/atom
calculated volume: 154.3 Å³/f.u.

=====

Entry from the Alexandria database: an optimized crystal structure of LaTiI2 (GGA-PBE).

Cell: 5.360 5.360 5.360 Å, 60.00 60.00 60.00°
Element x y z (fractional)
La (0.000, 0.000, 0.000)
Ti (0.500, 0.500, 0.500)
I (0.250, 0.250, 0.250)
I (0.750, 0.750, 0.750)

Computed properties:
calculated volume: 108.9 Å³/f.u.
uncorrected formation energy: -0.2513 eV per atom

=====

Number 1 is which compound?
PuTh2Pt3

=====

Look up the calculated volume of the second one.
108.9 Å³/f.u.